No. 1
A plane-wave DFT calculation with GGA-PBEsol was carried out for crystalline AgMo2Cl at its relaxed geometry.

Structure (POSCAR):
```
AgMo2Cl
1.0
0.000 3.112 3.112
3.112 0.000 3.112
3.112 3.112 0.000
Ag Mo Cl
1 2 1
direct
0.000 0.000 0.000 Ag
0.250 0.250 0.250 Mo
0.750 0.750 0.750 Mo
0.500 0.500 0.500 Cl
```

The uncorrected formation energy comes out at 0.9480 eV/atom. The total energy is -25.1 eV for the cell shown. The density of states at the Fermi level is 0.69 states/eV per atom. As for the volume: 15.06 A^3/atom. The offset from the most stable computed form is 389.8 meV/atom.

---

No. 2
A plane-wave DFT calculation with GGA-PBEsol was carried out for crystalline CaMg3Sb at its relaxed geometry.

Structure (POSCAR):
```
CaMg3Sb
1.0
5.474 0.000 0.000
0.000 5.474 0.000
0.000 0.000 5.474
Ca Mg Sb
1 3 1
direct
0.000 0.000 0.000 Ca
0.000 0.500 0.500 Mg
0.500 0.000 0.500 Mg
0.500 0.500 0.000 Mg
0.500 0.500 0.500 Sb
```

The uncorrected formation energy comes out at 0.1842 eV/atom. The total energy is -10.9 eV for the cell shown. The density of states at the Fermi level is 0.61 states/eV per atom. As for the volume: 32.81 A^3/atom.